A plane-wave DFT calculation with GGA-PBE was carried out for an optimized crystal structure of TlAg2Te.

Lattice parameters (Å, degrees): 4.567 3.311 6.595 90.06 90.00 90.00
Fractional coordinates of all 4 atoms:
Te1 0.500 0.250 0.250
Ag1 0.000 0.252 0.531
Tl1 0.500 0.750 0.750
Ag2 0.000 0.248 0.969

Values from the calculation:
distance to the lowest polymorph of the same formula = 33 meV per atom
symmetry = P2/m

A plane-wave DFT calculation with GGA-PBE was carried out for an optimized crystal structure of Tl2Ag2Te3.

Lattice parameters (Å, degrees): 4.995 8.867 9.922 90.00 104.58 90.00
Fractional coordinates of all 14 atoms:
Tl1 0.123 0.250 0.247
Te1 0.573 0.022 0.147
Ag1 0.281 0.077 0.562
Te2 0.427 0.978 0.853
Ag2 0.719 0.577 0.438
Te3 0.427 0.522 0.853
Te4 0.758 0.250 0.515
Tl2 0.064 0.750 0.129
Ag3 0.281 0.423 0.562
Ag4 0.719 0.923 0.438
Te5 0.573 0.478 0.147
Te6 0.242 0.750 0.485
Tl3 0.877 0.750 0.753
Tl4 0.936 0.250 0.871

Values from the calculation:
symmetry = Cmcm

A plane-wave DFT calculation with GGA-PBE was carried out for an optimized crystal structure of Tl2AgTe.

Lattice parameters (Å, degrees): 11.466 11.466 11.466 16.96 16.96 16.96
Fractional coordinates of all 4 atoms:
Ag1 0.250 0.250 0.250
Tl1 0.991 0.991 0.991
Te1 0.750 0.750 0.750
Tl2 0.509 0.509 0.509

Values from the calculation:
distance to the lowest polymorph of the same formula = 246 meV per atom
symmetry = R-3m

no.,calculated total energy (eV per atom)
1,-2.742
2,-2.922
3,-2.508